# 1
Material: HoHfTlAg
Method: DFT, GGA-PBE
State: optimized geometry

Cell: 5.0768 5.0768 5.0768 Å, 60.00 60.00 60.00°
With the nearest neighbours (Å) after each atom.
Fractional coordinates of all 4 atoms:
1 Ho 0.0000 0.0000 0.0000  4 Tl 3.11, 4 Ag 3.11
2 Hf 0.5000 0.5000 0.5000  4 Tl 3.11, 4 Ag 3.11
3 Tl 0.7500 0.7500 0.7500  4 Hf 3.11, 4 Ho 3.11
4 Ag 0.2500 0.2500 0.2500  4 Hf 3.11, 4 Ho 3.11

## Properties
DFT total energy: -4.98 eV/atom
E_form: -0.045 eV per atom

# 2
Material: AcTb2PrY6
Method: DFT, GGA-PBE
State: optimized geometry

Cell: 8.9882 8.9882 9.6574 Å, 92.93 92.93 117.63°
With the nearest neighbours (Å) after each atom.
Fractional coordinates of all 20 atoms:
1 Ac 0.0312 0.9688 0.7500  4 Tb 3.45-3.57, 4 Y 3.67-3.84
2 Ac 0.9688 0.0312 0.2500  4 Tb 3.45-3.57, 4 Y 3.67-3.84
3 Tb 0.1962 0.3080 0.5503  6 Y 3.33-3.55, 2 Ac 3.45-3.57, 1 Pr 3.62
4 Tb 0.3080 0.1962 0.0503  6 Y 3.33-3.55, 2 Ac 3.45-3.57, 1 Pr 3.62
5 Tb 0.6920 0.8038 0.9497  6 Y 3.33-3.55, 2 Ac 3.45-3.57, 1 Pr 3.62
6 Tb 0.8038 0.6920 0.4497  6 Y 3.33-3.55, 2 Ac 3.45-3.57, 1 Pr 3.62
7 Pr 0.4110 0.5890 0.2500  6 Y 3.50-3.57, 4 Tb 3.62-3.91
8 Pr 0.5890 0.4110 0.7500  6 Y 3.50-3.57, 4 Tb 3.62-3.91
9 Y 0.0189 0.5584 0.6791  4 Y 3.27-3.66, 2 Tb 3.48-3.52, 1 Pr 3.57
10 Y 0.1234 0.7514 0.0580  7 Y 3.45-3.84, 1 Tb 3.55, 1 Ac 3.84
11 Y 0.2486 0.8766 0.4420  7 Y 3.45-3.84, 1 Tb 3.55, 1 Ac 3.84
12 Y 0.2904 0.5115 0.8860  4 Y 3.27-3.54, 3 Tb 3.33-3.50, 2 Pr 3.50-3.56
13 Y 0.4416 0.9811 0.8209  4 Y 3.27-3.66, 2 Tb 3.48-3.52, 1 Pr 3.57
14 Y 0.4885 0.7096 0.6140  4 Y 3.27-3.54, 3 Tb 3.33-3.50, 2 Pr 3.50-3.56
15 Y 0.5115 0.2904 0.3860  4 Y 3.27-3.54, 3 Tb 3.33-3.50, 2 Pr 3.50-3.56
16 Y 0.5584 0.0189 0.1791  4 Y 3.27-3.66, 2 Tb 3.48-3.52, 1 Pr 3.57
17 Y 0.7096 0.4885 0.1140  4 Y 3.27-3.54, 3 Tb 3.33-3.50, 2 Pr 3.50-3.56
18 Y 0.7514 0.1234 0.5580  7 Y 3.45-3.84, 1 Tb 3.55, 1 Ac 3.84
19 Y 0.8766 0.2486 0.9420  7 Y 3.45-3.84, 1 Tb 3.55, 1 Ac 3.84
20 Y 0.9811 0.4416 0.3209  4 Y 3.27-3.66, 2 Tb 3.48-3.52, 1 Pr 3.57

## Properties
DFT total energy: -5.57 eV/atom
E_form: 0.127 eV per atom

# 3
Material: LuSeF
Method: DFT, GGA-PBE
State: optimized geometry

Cell: 3.9122 3.9122 3.9456 Å, 90.00 90.00 120.00°
With the nearest neighbours (Å) after each atom.
Fractional coordinates of all 3 atoms:
1 Lu 0.0000 0.0000 0.0000  3 F 2.26
2 Se 0.6667 0.3333 0.5000  6 Lu 3.00, 6 F 3.00
3 F 0.3333 0.6667 0.0000  3 Lu 2.26

## Properties
DFT total energy: -6.09 eV/atom

# 4
Material: AcTl2Zn
Method: DFT, GGA-PBE
State: optimized geometry

Cell: 6.4509 6.4509 6.4509 Å, 43.68 43.68 43.68°
With the nearest neighbours (Å) after each atom.
Fractional coordinates of all 4 atoms:
1 Ac 0.0000 0.0000 0.0000  6 Tl 3.39
2 Tl 0.2221 0.2221 0.2221  3 Zn 2.94
3 Tl 0.7779 0.7779 0.7779  3 Zn 2.94
4 Zn 0.5000 0.5000 0.5000  6 Tl 2.94

## Properties
DFT total energy: -2.73 eV/atom
E_form: -0.197 eV per atom

# 5
Material: PmHo2Ir
Method: DFT, GGA-PBE
State: optimized geometry

Cell: 6.4189 6.4189 9.1897 Å, 90.00 90.00 144.98°
With the nearest neighbours (Å) after each atom.
Fractional coordinates of all 8 atoms:
1 Pm 0.0720 0.9280 0.7500  2 Ir 2.94
2 Pm 0.9280 0.0720 0.2500  2 Ir 2.94
3 Ho 0.3571 0.6429 0.5670  2 Ir 2.86
4 Ho 0.3571 0.6429 0.9330  2 Ir 2.86
5 Ho 0.6429 0.3571 0.0670  2 Ir 2.86
6 Ho 0.6429 0.3571 0.4330  2 Ir 2.86
7 Ir 0.2468 0.7532 0.2500  4 Ho 2.86, 2 Pm 2.94
8 Ir 0.7532 0.2468 0.7500  4 Ho 2.86, 2 Pm 2.94

## Properties
DFT total energy: -6.21 eV/atom
E_form: -0.523 eV per atom

# 6
Material: ZrCo3Ir
Method: DFT, GGA-PBE
State: optimized geometry

Cell: 4.4099 4.4099 4.4099 Å, 90.00 90.00 90.00°
With the nearest neighbours (Å) after each atom.
Fractional coordinates of all 5 atoms:
1 Zr 0.0000 0.0000 0.0000  6 Co 2.20
2 Co 0.0000 0.0000 0.5000  2 Zr 2.20
3 Co 0.0000 0.5000 0.0000  2 Zr 2.20
4 Co 0.5000 0.0000 0.0000  2 Zr 2.20
5 Ir 0.5000 0.5000 0.5000  12 Co 3.12

## Properties
DFT total energy: -6.08 eV/atom
E_form: 1.668 eV per atom

# 7
Material: ScAsAuBr2
Method: DFT, GGA-PBE
State: optimized geometry

Cell: 5.0641 5.0641 5.6822 Å, 90.00 90.00 90.00°
With the nearest neighbours (Å) after each atom.
Fractional coordinates of all 5 atoms:
1 Sc 0.0000 0.0000 0.0000  4 Br 2.53
2 As 0.0000 0.0000 0.5000  2 Sc 2.84
3 Au 0.5000 0.5000 0.5000  4 As 3.58, 8 Br 3.81
4 Br 0.0000 0.5000 0.0000  2 Sc 2.53
5 Br 0.5000 0.0000 0.0000  2 Sc 2.53

## Properties
DFT total energy: -3.77 eV/atom

# 8
Material: Pu2TcGe
Method: DFT, GGA-PBE
State: optimized geometry

Cell: 4.6091 4.6091 5.1028 Å, 90.00 90.00 120.00°
With the nearest neighbours (Å) after each atom.
Fractional coordinates of all 4 atoms:
1 Pu 0.3333 0.6667 0.2202  3 Tc 2.89, 3 Ge 3.02
2 Pu 0.6667 0.3333 0.7798  3 Tc 2.89, 3 Ge 3.02
3 Tc 0.0000 0.0000 0.0000  2 Ge 2.55
4 Ge 0.0000 0.0000 0.5000  2 Tc 2.55

## Properties
DFT total energy: -10.97 eV/atom
E_form: -0.057 eV per atom

# 9
Material: Ti3PtO
Method: DFT, GGA-PBE
State: optimized geometry

Cell: 7.6446 7.6446 7.6446 Å, 60.00 60.00 60.00°
With the nearest neighbours (Å) after each atom.
Fractional coordinates of all 20 atoms:
1 Ti 0.0726 0.0726 0.6774  2 O 2.07
2 Ti 0.0726 0.6774 0.0726  2 O 2.07
3 Ti 0.0726 0.6774 0.6774  2 O 2.07
4 Ti 0.3226 0.3226 0.9274  2 O 2.07
5 Ti 0.3226 0.9274 0.3226  2 O 2.07
6 Ti 0.3226 0.9274 0.9274  2 O 2.07
7 Ti 0.6774 0.0726 0.0726  2 O 2.07
8 Ti 0.6774 0.0726 0.6774  2 O 2.07
9 Ti 0.6774 0.6774 0.0726  2 O 2.07
10 Ti 0.9274 0.3226 0.3226  2 O 2.07
11 Ti 0.9274 0.3226 0.9274  2 O 2.07
12 Ti 0.9274 0.9274 0.3226  2 O 2.07
13 Pt 0.0000 0.5000 0.5000  6 Ti 2.71
14 Pt 0.5000 0.0000 0.5000  6 Ti 2.71
15 Pt 0.5000 0.5000 0.0000  6 Ti 2.71
16 Pt 0.5000 0.5000 0.5000  6 Ti 2.71
17 O 0.0000 0.0000 0.0000  6 Ti 2.07
18 O 0.0000 0.0000 0.5000  6 Ti 2.07
19 O 0.0000 0.5000 0.0000  6 Ti 2.07
20 O 0.5000 0.0000 0.0000  6 Ti 2.07

## Properties
DFT total energy: -7.84 eV/atom

# 10
Material: LaZnCuPd
Method: DFT, GGA-PBE
State: optimized geometry

Cell: 5.4636 5.4636 5.4636 Å, 47.73 47.73 47.73°
With the nearest neighbours (Å) after each atom.
Fractional coordinates of all 4 atoms:
1 La 0.0000 0.0000 0.0000  4 Cu 2.96-3.17, 4 Pd 3.01-3.14
2 Zn 0.4990 0.4990 0.4990  3 Cu 2.61, 3 Pd 2.62
3 Cu 0.7959 0.7959 0.7959  3 Zn 2.61, 3 Pd 2.79
4 Pd 0.2075 0.2075 0.2075  3 Zn 2.62, 3 Cu 2.79

## Properties
DFT total energy: -4.37 eV/atom
E_form: -0.496 eV per atom

# 11
Material: LaFeIr2
Method: DFT, GGA-PBE
State: optimized geometry

Cell: 2.9425 4.3919 5.7372 Å, 90.00 103.94 90.00°
With the nearest neighbours (Å) after each atom.
Fractional coordinates of all 4 atoms:
1 La 0.0000 0.0000 0.0000  2 Fe 2.89, 2 La 2.94, 8 Ir 3.08-3.17
2 Fe 0.5000 0.0000 0.5000  4 Ir 2.58, 2 La 2.89
3 Ir 0.3292 0.5000 0.7008  2 Fe 2.58, 2 Ir 2.63-2.73
4 Ir 0.6708 0.5000 0.2992  2 Fe 2.58, 2 Ir 2.63-2.73

## Properties
DFT total energy: -7.74 eV/atom
E_form: 0.042 eV per atom

# 12
Material: Pa2TlSeO8
Method: DFT, GGA-PBE
State: optimized geometry

Cell: 5.2477 5.2477 8.1706 Å, 90.00 90.00 120.00°
With the nearest neighbours (Å) after each atom.
Fractional coordinates of all 12 atoms:
1 Pa 0.3333 0.6667 0.3656  1 O 1.88
2 Pa 0.6667 0.3333 0.6344  1 O 1.88
3 Tl 0.0000 0.0000 0.0000  12 O 3.22-3.44
4 Se 0.0000 0.0000 0.5000  6 O 1.85
5 O 0.1704 0.3409 0.6240  1 Se 1.85
6 O 0.1704 0.8296 0.6240  1 Se 1.85
7 O 0.3333 0.6667 0.1351  1 Pa 1.88
8 O 0.3409 0.1704 0.3760  1 Se 1.85
9 O 0.6591 0.8296 0.6240  1 Se 1.85
10 O 0.6667 0.3333 0.8649  1 Pa 1.88
11 O 0.8296 0.1704 0.3760  1 Se 1.85
12 O 0.8296 0.6591 0.3760  1 Se 1.85

## Properties
DFT total energy: -7.40 eV/atom

Which value of DFT total energy does entry 11 give? -7.74 eV/atom

DFT total energy of number 6 (ZrCo3Ir)? -6.08 eV/atom